# 1
# Pm4Te2PSe

Pm4Te2PSe after structural relaxation (PBE, the Alexandria database).

Cell lengths 7.3963, 4.2537, 7.6484 Å; angles 90.00, 108.66, 90.00 degrees
Closest atoms and distances in Å follow each position.
Positions (direct):
Pm1 0.2267 0.0000 0.2126  2 P 2.87, 1 Se 2.97, 1 Te 3.16
Pm2 0.2494 0.5000 0.7841  1 P 2.84, 2 Se 2.95, 2 Te 3.18
Pm3 0.7506 0.5000 0.2159  1 P 2.84, 2 Se 2.95, 2 Te 3.18
Pm4 0.7733 0.0000 0.7874  2 P 2.87, 1 Se 2.97, 1 Te 3.16
Te1 0.0000 0.0000 0.5000  6 Pm 3.16-3.18
Te2 0.5000 0.5000 0.5000  6 Pm 3.26-3.28
P1 0.0000 0.5000 0.0000  6 Pm 2.84-2.87
Se1 0.5000 0.0000 0.0000  6 Pm 2.95-2.97

SG: No. 10
Size of the total moment: 0.000 μB per atom
Total energy: -0.217 Ha/atom


# 2
# Rb2TeSe6

Rb2TeSe6 after structural relaxation (PBE, the Alexandria database).

Cell lengths 6.7068, 6.7068, 7.8322 Å; angles 106.70, 106.70, 76.97 degrees
Closest atoms and distances in Å follow each position.
Positions (direct):
Rb1 0.1516 0.1516 0.2940  6 Se 3.52-3.62
Rb2 0.8484 0.8484 0.7060  6 Se 3.52-3.62
Te1 0.5000 0.5000 0.0000  4 Se 2.84
Se1 0.1282 0.5951 0.1305  1 Se 2.50
Se2 0.3569 0.6431 0.5000  1 Se 2.39
Se3 0.4049 0.8718 0.8695  1 Se 2.50
Se4 0.5951 0.1282 0.1305  1 Se 2.50
Se5 0.6431 0.3569 0.5000  1 Se 2.39
Se6 0.8718 0.4049 0.8695  1 Se 2.50

SG: No. 12
Size of the total moment: 0.000 μB per atom
Energy above the lowest structure with this stoichiometry: 0.0000 eV per atom
Total energy: -0.122 Ha/atom


# 3
# LiMgTa2

LiMgTa2 after structural relaxation (PBE, the Alexandria database).

Cell lengths 5.0661, 5.0661, 5.0661 Å; angles 131.99, 131.99, 70.25 degrees
Closest atoms and distances in Å follow each position.
Positions (direct):
Li1 0.0000 0.0000 0.0000  8 Ta 2.91-2.92, 4 Mg 2.92
Mg1 0.2500 0.7500 0.5000  8 Ta 2.91-2.92, 4 Li 2.92
Ta1 0.5000 0.5000 0.0000  4 Li 2.91, 4 Ta 2.92, 4 Mg 2.92
Ta2 0.7500 0.2500 0.5000  4 Mg 2.91, 4 Ta 2.92, 4 Li 2.92

SG: No. 119
Size of the total moment: 0.000 μB per atom
E_form: 529 meV/atom
Total energy: -0.231 Ha/atom


# 4
# Ce7Hg

Ce7Hg after structural relaxation (PBE, the Alexandria database).

Cell lengths 6.6541, 6.6541, 6.6541 Å; angles 60.00, 60.00, 60.00 degrees
Closest atoms and distances in Å follow each position.
Positions (direct):
Ce1 0.0000 0.0000 0.0000  12 Ce 3.33
Ce2 0.0000 0.0000 0.5000  2 Hg 3.33, 10 Ce 3.33
Ce3 0.0000 0.5000 0.0000  2 Hg 3.33, 10 Ce 3.33
Ce4 0.0000 0.5000 0.5000  2 Hg 3.33, 10 Ce 3.33
Ce5 0.5000 0.0000 0.0000  2 Hg 3.33, 10 Ce 3.33
Ce6 0.5000 0.0000 0.5000  2 Hg 3.33, 10 Ce 3.33
Ce7 0.5000 0.5000 0.0000  2 Hg 3.33, 10 Ce 3.33
Hg1 0.5000 0.5000 0.5000  12 Ce 3.33

SG: No. 225
Size of the total moment: 0.000 μB per atom
E_form: -57 meV/atom
Total energy: -0.194 Ha/atom


# 5
# NdFeRu

NdFeRu after structural relaxation (PBE, the Alexandria database).

Cell lengths 4.0594, 4.0594, 4.3148 Å; angles 90.00, 90.00, 120.00 degrees
Closest atoms and distances in Å follow each position.
Positions (direct):
Nd1 0.0000 0.0000 0.0000  6 Fe 3.19, 6 Ru 3.19
Fe1 0.6667 0.3333 0.5000  3 Ru 2.34
Ru1 0.3333 0.6667 0.5000  3 Fe 2.34

SG: No. 187
Size of the total moment: 0.627 μB per atom
Energy above the lowest structure with this stoichiometry: 0.1206 eV per atom
E_form: 48 meV/atom
Total energy: -0.274 Ha/atom


# 6
# CaPrI2

CaPrI2 after structural relaxation (PBE, the Alexandria database).

Cell lengths 10.8402, 10.8402, 10.8402 Å; angles 21.97, 21.97, 21.97 degrees
Closest atoms and distances in Å follow each position.
Positions (direct):
Ca1 0.0000 0.0000 0.0000  6 I 3.11
Pr1 0.5000 0.5000 0.5000  2 I 3.29
I1 0.3962 0.3962 0.3962  3 Ca 3.11, 1 Pr 3.29
I2 0.6038 0.6038 0.6038  3 Ca 3.11, 1 Pr 3.29

SG: No. 166
Size of the total moment: 0.000 μB per atom
Total energy: -0.121 Ha/atom


# 7
# MgZn6Au2

MgZn6Au2 after structural relaxation (PBE, the Alexandria database).

Cell lengths 4.6866, 4.6866, 8.4723 Å; angles 99.78, 99.78, 55.19 degrees
Closest atoms and distances in Å follow each position.
Positions (direct):
Mg1 0.0000 0.0000 0.0000  4 Au 2.87, 8 Zn 2.91-2.94
Zn1 0.0304 0.0304 0.3477  5 Zn 2.62-2.83, 2 Au 2.71, 1 Mg 2.91
Zn2 0.2882 0.2882 0.8447  4 Au 2.65-2.81, 1 Zn 2.83, 3 Mg 2.94
Zn3 0.3386 0.3386 0.4918  6 Zn 2.62-2.68, 1 Au 2.78
Zn4 0.6614 0.6614 0.5082  6 Zn 2.62-2.68, 1 Au 2.78
Zn5 0.7118 0.7118 0.1553  4 Au 2.65-2.81, 1 Zn 2.83, 3 Mg 2.94
Zn6 0.9696 0.9696 0.6523  5 Zn 2.62-2.83, 2 Au 2.71, 1 Mg 2.91
Au1 0.3975 0.3975 0.1800  7 Zn 2.65-2.81, 2 Mg 2.87
Au2 0.6025 0.6025 0.8200  7 Zn 2.65-2.81, 2 Mg 2.87

SG: No. 12
Size of the total moment: 0.000 μB per atom
E_form: -171 meV/atom
Total energy: -0.071 Ha/atom


# 8
# TiTlPb2Br

TiTlPb2Br after structural relaxation (PBE, the Alexandria database).

Cell lengths 5.8172, 5.8172, 5.5023 Å; angles 90.00, 90.00, 90.00 degrees
Closest atoms and distances in Å follow each position.
Positions (direct):
Ti1 0.0000 0.0000 0.0000  2 Tl 2.75
Tl1 0.0000 0.0000 0.5000  2 Ti 2.75, 4 Pb 2.91
Pb1 0.0000 0.5000 0.5000  2 Tl 2.91
Pb2 0.5000 0.0000 0.5000  2 Tl 2.91
Br1 0.5000 0.5000 0.0000  8 Pb 4.00, 4 Ti 4.11

SG: No. 123
Size of the total moment: 0.109 μB per atom
Total energy: -0.113 Ha/atom


# 9
# CeTm2Pb

CeTm2Pb after structural relaxation (PBE, the Alexandria database).

Cell lengths 11.1607, 11.1607, 11.1607 Å; angles 18.13, 18.13, 18.13 degrees
Closest atoms and distances in Å follow each position.
Positions (direct):
Ce1 0.0000 0.0000 0.0000  6 Tm 3.50-3.51, 6 Ce 3.52
Tm1 0.2463 0.2463 0.2463  3 Pb 3.32, 3 Ce 3.51, 6 Tm 3.52
Tm2 0.4198 0.4198 0.4198  3 Pb 3.33, 3 Ce 3.50, 6 Tm 3.52
Pb1 0.8331 0.8331 0.8331  6 Tm 3.32-3.33, 6 Pb 3.52

SG: No. 160
Size of the total moment: 0.278 μB per atom
Energy above the lowest structure with this stoichiometry: 0.1345 eV per atom
E_form: -100 meV/atom
Total energy: -0.174 Ha/atom


# 10
# Al2MoOs

Al2MoOs after structural relaxation (PBE, the Alexandria database).

Cell lengths 2.7750, 2.7750, 8.4050 Å; angles 90.00, 90.00, 113.01 degrees
Closest atoms and distances in Å follow each position.
Positions (direct):
Al1 0.0000 0.0000 0.2422  2 Os 2.55, 2 Mo 2.65, 4 Al 2.78
Al2 0.0000 0.0000 0.7578  2 Os 2.55, 2 Mo 2.65, 4 Al 2.78
Mo1 0.5000 0.5000 0.5000  4 Al 2.65, 4 Mo 2.78
Os1 0.5000 0.5000 0.0000  4 Al 2.55, 4 Os 2.78

SG: No. 65
Size of the total moment: 0.000 μB per atom
Energy above the lowest structure with this stoichiometry: 0.2329 eV per atom
E_form: -91 meV/atom
Total energy: -0.275 Ha/atom


# 11
# SnS2F

SnS2F after structural relaxation (PBE, the Alexandria database).

Cell lengths 6.2861, 6.2861, 6.2861 Å; angles 117.25, 117.25, 94.84 degrees
Closest atoms and distances in Å follow each position.
Positions (direct):
Sn1 0.0000 0.0000 0.0000  4 S 2.46
Sn2 0.7500 0.2500 0.5000  4 S 2.46
S1 0.1045 0.6250 0.9795  2 Sn 2.46, 2 F 2.64
S2 0.3750 0.3545 0.4795  2 Sn 2.46, 2 F 2.64
S3 0.6455 0.1250 0.0205  2 Sn 2.46, 2 F 2.64
S4 0.8750 0.8955 0.5205  2 Sn 2.46, 2 F 2.64
F1 0.2500 0.7500 0.5000  4 S 2.64
F2 0.5000 0.5000 0.0000  4 S 2.64

SG: No. 122
Size of the total moment: 0.250 μB per atom
Energy above the lowest structure with this stoichiometry: 0.1516 eV per atom
Total energy: -0.138 Ha/atom


# 12
# Li4PmIr

Li4PmIr after structural relaxation (PBE, the Alexandria database).

Cell lengths 5.1857, 5.1857, 5.1857 Å; angles 60.00, 60.00, 60.00 degrees
Closest atoms and distances in Å follow each position.
Positions (direct):
Li1 0.1208 0.1208 0.1208  6 Li 2.51-2.68
Li2 0.1208 0.1208 0.6375  6 Li 2.51-2.68
Li3 0.1208 0.6375 0.1208  6 Li 2.51-2.68
Li4 0.6375 0.1208 0.1208  6 Li 2.51-2.68
Pm1 0.5000 0.5000 0.5000  12 Li 3.05, 4 Ir 3.18
Ir1 0.7500 0.7500 0.7500  12 Li 3.03, 4 Pm 3.18

SG: No. 216
Size of the total moment: 0.000 μB per atom
E_form: -20 meV/atom
Total energy: -0.131 Ha/atom